No. 1
The following is a PBE-GGA calculation of a relaxed structure of ZrMnBOs2, from Alexandria.

Cell lengths 4.8512, 4.6166, 4.8512 Å; angles 90.00, 90.00, 90.00 degrees
Each line ends with the local moment (μB).
Atoms (fractional coordinates):
B1 0.5000 0.5000 0.5000  0.01
Mn1 0.0000 0.5000 0.0000  -1.17
Os1 0.0000 0.0000 0.5000  0.77
Os2 0.5000 0.0000 0.0000  0.81
Zr1 0.0000 0.0000 0.0000  0.03

Values from the calculation:
Its space-group type is P4/mmm. The density comes out at 8.21 g cm⁻³. The calculation puts the total moment at 0.56 μB per formula unit. The total DFT energy (no corrections) comes out at -6.153 eV/atom. The formation energy comes out at 3.218 eV per atom.

No. 2
The following is a PBE-GGA calculation of a relaxed structure of ScAl2Te4, from Alexandria.

Cell lengths 6.0527, 6.0527, 6.5773 Å; angles 90.00, 90.00, 90.00 degrees
Atoms (fractional coordinates):
Sc1 0.0000 0.0000 0.0000
Al1 0.5000 0.0000 0.5000
Al2 0.0000 0.5000 0.5000
Te1 0.7320 0.2680 0.7488
Te2 0.2680 0.2680 0.2512
Te3 0.2680 0.7320 0.7488
Te4 0.7320 0.7320 0.2512

Values from the calculation:
Its space-group type is P-42m. The density comes out at 4.20 g cm⁻³. The calculation puts the total moment at 0.02 μB per formula unit. The total DFT energy (no corrections) comes out at -4.286 eV/atom.

No. 3
The following is a PBE-GGA calculation of a relaxed structure of MgGa6Ir, from Alexandria.

Cell lengths 5.5735, 5.5735, 5.5721 Å; angles 103.78, 103.78, 103.79 degrees
Atoms (fractional coordinates):
Mg1 0.0000 0.0000 0.0000
Ga1 0.2029 0.2029 0.6406
Ga2 0.6406 0.2028 0.2029
Ga3 0.7971 0.7971 0.3594
Ga4 0.7972 0.3594 0.7971
Ga5 0.3594 0.7972 0.7971
Ga6 0.2028 0.6406 0.2029
Ir1 0.5000 0.5000 0.5000

Values from the calculation:
Its space-group type is R-3m. The density comes out at 6.80 g cm⁻³. The calculation puts the total moment at 0.00 μB per formula unit. The total DFT energy (no corrections) comes out at -3.730 eV/atom. The formation energy comes out at -0.153 eV per atom.

No. 4
The following is a PBE-GGA calculation of a relaxed structure of La2TeP, from Alexandria.

Cell lengths 8.1276, 8.1276, 8.1276 Å; angles 151.60, 150.96, 41.07 degrees
Each line ends with the local moment (μB).
Atoms (fractional coordinates):
La1 0.0304 0.0304 0.0000  0.07
La2 0.3104 0.8104 0.5000  0.12
Te1 0.7026 0.2026 0.5000  0.00
P1 0.4565 0.4565 0.0000  -0.01

Values from the calculation:
Its space-group type is Imm2. The density comes out at 5.86 g cm⁻³. The calculation puts the total moment at 0.44 μB per formula unit. The energy above the lowest structure with this stoichiometry comes out at 102 kJ/mol of formula units. The total DFT energy (no corrections) comes out at -6.002 eV/atom.

No. 5
The following is a PBE-GGA calculation of a relaxed structure of Tb2Nd6Er3In, from Alexandria.

Cell lengths 6.1995, 6.1995, 11.8039 Å; angles 95.05, 95.05, 120.10 degrees
Atoms (fractional coordinates):
Tb1 0.3335 0.6665 0.0000
Tb2 0.6665 0.3335 0.0000
Nd1 0.9171 0.5898 0.7505
Nd2 0.7563 0.7563 0.2504
Nd3 0.0829 0.4102 0.2495
Nd4 0.5898 0.9171 0.7505
Nd5 0.2437 0.2437 0.7496
Nd6 0.4102 0.0829 0.2495
Er1 0.1674 0.8326 0.5000
Er2 0.8326 0.1674 0.5000
Er3 0.5000 0.5000 0.5000
In1 0.0000 0.0000 0.0000

Values from the calculation:
Its space-group type is C2/m. The density comes out at 7.74 g cm⁻³. The calculation puts the total moment at 0.00 μB per formula unit. The total DFT energy (no corrections) comes out at -4.563 eV/atom. The formation energy comes out at -0.038 eV per atom.

No. 6
The following is a PBE-GGA calculation of a relaxed structure of TaNb2SbOs, from Alexandria.

Cell lengths 4.8901, 4.9185, 4.8901 Å; angles 90.00, 90.00, 90.00 degrees
Atoms (fractional coordinates):
Sb1 0.0000 0.0000 0.0000
Nb1 0.0000 0.0000 0.5000
Nb2 0.5000 0.0000 0.0000
Os1 0.5000 0.5000 0.5000
Ta1 0.0000 0.5000 0.0000

Values from the calculation:
Its space-group type is P4/mmm. The density comes out at 9.58 g cm⁻³. The calculation puts the total moment at 0.00 μB per formula unit. The total DFT energy (no corrections) comes out at -7.359 eV/atom.